Entry 1:
! Ba2AlZn3 PBE relaxed; values from VASP
&SYSTEM
  ibrav = 0, nat = 12, ntyp = 3
/
ATOMIC_SPECIES
Ba 137.33 Ba.upf
Zn 65.41 Zn.upf
Al 26.98 Al.upf
CELL_PARAMETERS angstrom
-3.0539 4.3708 -3.9325
-5.8983 -2.0424 2.2210
4.7725 4.4023 6.7941
ATOMIC_POSITIONS crystal
Ba 0.7503 0.2497 0.5000
Zn 0.8242 0.3413 0.1656
Al 0.3368 0.3368 0.6729
Zn 0.1712 0.1712 0.3422
Zn 0.3413 0.8242 0.1656
Ba 0.7680 0.7680 0.0000
Zn 0.6587 0.1758 0.8344
Zn 0.8288 0.8288 0.6578
Al 0.6632 0.6632 0.3271
Ba 0.2320 0.2320 0.0000
Ba 0.2497 0.7503 0.5000
Zn 0.1758 0.6587 0.8344
! relative energy among the computed polymorphs: 1.87 kJ per mole of atoms
! formation energy: -0.1678 eV/atom
! M_tot: 0.00 μB/f.u.



Entry 2:
! BaAl2Zn PBE relaxed; values from VASP
&SYSTEM
  ibrav = 0, nat = 4, ntyp = 3
/
ATOMIC_SPECIES
Ba 137.33 Ba.upf
Al 26.98 Al.upf
Zn 65.41 Zn.upf
CELL_PARAMETERS angstrom
5.1662 -0.0216 0.0000
-0.0035 5.1663 0.0000
-2.5813 -2.5723 3.6620
ATOMIC_POSITIONS crystal
Ba 0.5000 0.5000 0.0000
Al 0.2500 0.7500 0.5000
Zn 0.7500 0.2500 0.5000
Al 0.0000 0.0000 0.0000
! formation energy: 0.0511 eV/atom
! M_tot: 0.00 μB/f.u.



Entry 3:
! BaAlZn11 PBE relaxed; values from VASP
&SYSTEM
  ibrav = 0, nat = 13, ntyp = 3
/
ATOMIC_SPECIES
Zn 65.41 Zn.upf
Al 26.98 Al.upf
Ba 137.33 Ba.upf
CELL_PARAMETERS angstrom
-5.0931 1.2018 1.0758
-4.1934 -1.1998 -5.5060
-3.5445 -5.4987 2.6271
ATOMIC_POSITIONS crystal
Zn 0.6432 0.3595 0.3576
Zn 0.5000 0.0000 0.5000
Zn 0.0009 0.3595 0.6424
Al 0.5000 0.5000 0.0000
Zn 0.9991 0.6405 0.3576
Zn 0.3568 0.6405 0.6424
Zn 0.7357 0.7662 0.7612
Zn 0.5030 0.2338 0.7612
Zn 0.4970 0.7662 0.2388
Zn 0.0000 0.5000 0.0000
Ba 0.0000 0.0000 0.0000
Zn 0.2643 0.2338 0.2388
Zn 0.0000 0.0000 0.5000
! formation energy: -0.1003 eV/atom
! M_tot: 0.00 μB/f.u.



Entry 4:
! BaAl2Zn PBE relaxed; values from VASP
&SYSTEM
  ibrav = 0, nat = 4, ntyp = 3
/
ATOMIC_SPECIES
Ba 137.33 Ba.upf
Al 26.98 Al.upf
Zn 65.41 Zn.upf
CELL_PARAMETERS angstrom
6.0345 -0.0039 -0.0136
-2.6971 5.6532 -0.0039
0.6403 0.8311 2.9393
ATOMIC_POSITIONS crystal
Ba 0.0000 0.5000 0.5000
Al 0.0000 0.0000 0.0000
Zn 0.5000 0.5000 0.0000
Al 0.5000 0.0000 0.5000
! formation energy: 0.3150 eV/atom
! M_tot: 0.00 μB/f.u.



Entry 5:
! BaAlZn2 PBE relaxed; values from VASP
&SYSTEM
  ibrav = 0, nat = 4, ntyp = 3
/
ATOMIC_SPECIES
Zn 65.41 Zn.upf
Al 26.98 Al.upf
Ba 137.33 Ba.upf
CELL_PARAMETERS angstrom
4.4038 0.0000 0.0000
0.0000 3.6354 -0.0141
0.0000 1.4239 6.4409
ATOMIC_POSITIONS crystal
Zn 0.0000 0.4304 0.4158
Al 0.5000 0.2500 0.2500
Zn 0.0000 0.0696 0.0842
Ba 0.5000 0.7500 0.7500
! formation energy: -0.0062 eV/atom
! M_tot: 0.00 μB/f.u.



Entry 6:
! Ba2ZrAl PBE relaxed; values from VASP
&SYSTEM
  ibrav = 0, nat = 4, ntyp = 3
/
ATOMIC_SPECIES
Ba 137.33 Ba.upf
Zr 91.22 Zr.upf
Al 26.98 Al.upf
CELL_PARAMETERS angstrom
11.8544 0.0110 0.0065
11.2764 3.6565 0.0065
11.2764 1.7879 3.1895
ATOMIC_POSITIONS crystal
Ba 0.4974 0.4974 0.4974
Zr 0.2500 0.2500 0.2500
Ba 0.0026 0.0026 0.0026
Al 0.7500 0.7500 0.7500
! formation energy: 0.5496 eV/atom
! M_tot: 0.35 μB/f.u.



Entry 7:
! Ba2ZrAl PBE relaxed; values from VASP
&SYSTEM
  ibrav = 0, nat = 4, ntyp = 3
/
ATOMIC_SPECIES
Ba 137.33 Ba.upf
Zr 91.22 Zr.upf
Al 26.98 Al.upf
CELL_PARAMETERS angstrom
-5.8604 3.1284 -2.7189
-4.6432 0.7429 -5.4233
-5.0238 -3.2117 0.5719
ATOMIC_POSITIONS crystal
Ba 0.7639 0.7639 0.7354
Ba 0.9657 0.9657 0.0352
Zr 0.5518 0.5518 0.4491
Al 0.2186 0.2186 0.2804
! formation energy: 0.2538 eV/atom
! M_tot: 0.64 μB/f.u.



Entry 8:
! Ba4ZrAl PBE relaxed; values from VASP
&SYSTEM
  ibrav = 0, nat = 6, ntyp = 3
/
ATOMIC_SPECIES
Ba 137.33 Ba.upf
Al 26.98 Al.upf
Zr 91.22 Zr.upf
CELL_PARAMETERS angstrom
-3.9521 -5.8823 0.9419
-7.0387 0.5636 1.1167
-4.5999 -2.0652 -5.0679
ATOMIC_POSITIONS crystal
Ba 0.3749 0.8754 0.3749
Ba 0.8754 0.3749 0.3749
Al 0.0000 0.0000 0.0000
Zr 0.7500 0.7500 0.7500
Ba 0.3749 0.3749 0.3749
Ba 0.3749 0.3749 0.8754
! formation energy: 0.8264 eV/atom
! M_tot: 3.97 μB/f.u.



Repeat the fourth record exactly.
! BaAl2Zn PBE relaxed; values from VASP
&SYSTEM
  ibrav = 0, nat = 4, ntyp = 3
/
ATOMIC_SPECIES
Ba 137.33 Ba.upf
Al 26.98 Al.upf
Zn 65.41 Zn.upf
CELL_PARAMETERS angstrom
6.0345 -0.0039 -0.0136
-2.6971 5.6532 -0.0039
0.6403 0.8311 2.9393
ATOMIC_POSITIONS crystal
Ba 0.0000 0.5000 0.5000
Al 0.0000 0.0000 0.0000
Zn 0.5000 0.5000 0.0000
Al 0.5000 0.0000 0.5000
! formation energy: 0.3150 eV/atom
! M_tot: 0.00 μB/f.u.